Ta2SeBr | the Alexandria database | PBEsol | optimized geometry; ΔE to the lowest computed polymorph = 208 meV per atom
1.0
3.010 0.000 0.000
0.000 4.332 0.000
0.000 0.000 5.758
Br Se Ta
1 1 2
Cartesian
1.505 2.166 0.000 Br
0.000 2.166 2.879 Se
0.000 0.000 0.000 Ta
1.505 0.000 2.879 Ta

***

TaSeBr4 | the Alexandria database | PBEsol | optimized geometry; E = -2.792 eV/atom
1.0
-5.776 0.324 0.106
-3.183 -4.599 -1.480
-2.985 -2.873 4.038
Br Se Ta
4 1 1
Cartesian
-4.474 -2.678 0.998 Br
-5.971 -4.119 3.024 Br
-7.371 -2.515 1.051 Br
-6.070 -4.985 0.255 Br
-8.957 -5.361 1.998 Se
0.000 0.000 0.000 Ta

***

TaTeSe2Br | the Alexandria database | PBEsol | optimized geometry; E = -5.105 eV/atom
1.0
5.006 0.000 0.000
0.000 5.006 0.000
0.000 0.000 4.985
Te Se Br Ta
1 2 1 1
Cartesian
2.503 2.503 2.493 Te
0.000 2.503 0.000 Se
2.503 0.000 0.000 Se
0.000 0.000 2.493 Br
0.000 0.000 0.000 Ta

***

TaTiSe2Br | the Alexandria database | PBEsol | optimized geometry; E = -5.671 eV/atom
1.0
-2.619 -2.740 2.873
0.246 -3.646 -3.253
4.076 -1.643 2.149
Ti Se Br Ta
1 2 1 1
Cartesian
0.000 0.000 0.000 Ti
2.038 -0.822 1.075 Se
0.123 -1.823 -1.626 Se
-1.310 -1.370 1.436 Br
0.851 -4.014 0.885 Ta

***

Tc2SeBr | the Alexandria database | PBEsol | optimized geometry; ΔE to the lowest computed polymorph = 322 meV per atom
1.0
4.387 0.000 0.000
2.194 3.800 0.000
2.194 1.267 3.582
Br Se Tc
1 1 2
Cartesian
0.000 0.000 0.000 Br
4.387 2.533 1.791 Se
2.194 1.267 0.896 Tc
6.581 3.800 2.687 Tc

***

TcSeBr2 | the Alexandria database | PBEsol | optimized geometry; ΔE to the lowest computed polymorph = 0 meV per atom
1.0
4.677 0.000 0.000
2.338 6.458 0.000
2.338 0.000 6.458
Se Tc Br
2 2 4
Cartesian
3.507 3.229 3.229 Se
2.338 0.000 0.000 Se
5.846 3.229 3.229 Tc
0.000 0.000 0.000 Tc
6.430 0.891 4.119 Br
6.430 5.567 2.338 Br
5.261 4.119 5.567 Br
5.261 2.338 0.891 Br

***

Tc2SeBr | the Alexandria database | PBEsol | optimized geometry; ΔE to the lowest computed polymorph = 325 meV per atom
1.0
-2.396 0.332 -1.947
-2.599 -2.103 2.839
-1.015 3.820 1.901
Br Se Tc
1 1 2
Cartesian
-3.005 1.025 1.397 Br
-1.198 0.166 -0.973 Se
-0.507 1.910 0.951 Tc
-1.299 -1.052 1.420 Tc

***

Tc2SeBr | the Alexandria database | PBEsol | optimized geometry; ΔE to the lowest computed polymorph = 538 meV per atom
1.0
3.004 0.000 0.000
-1.502 2.737 0.000
0.000 0.000 8.147
Br Se Tc
1 1 2
Cartesian
1.502 0.000 4.074 Br
1.502 0.000 0.000 Se
0.000 0.000 6.275 Tc
0.000 0.000 1.873 Tc